[1]
LaNdAg2Se4 | PBE | relaxed

a b c (Å): 7.134 7.195 8.616
angles (deg): 90.00 90.00 90.00
Space group I222 (No. 23)
Asymmetric unit:
La: 0.000 0.000 0.000
Nd: 0.000 0.000 0.500
Ag: 0.000 0.500 0.164
Se: 0.238 0.252 0.329

Results
M_tot: 0.00 Bohr magnetons per cell
uncorrected formation energy: -1.112 eV/atom
total energy: -4.78 eV/atom



[2]
Pm4Dy6Mg | PBE | relaxed

a b c (Å): 6.527 6.527 17.185
angles (deg): 90.00 90.00 90.00
Space group I-42m (No. 121)
Asymmetric unit:
Pm: 0.184 0.184 0.174
Dy: 0.000 0.500 0.000
Dy: 0.174 0.174 0.372
Mg: 0.000 0.000 0.000

Results
M_tot: 0.00 Bohr magnetons per cell
ΔH_f (0 K): 3.033 eV/f.u.
total energy: -4.11 eV/atom



[3]
CdHg2Os | PBE | relaxed

a b c (Å): 4.113 4.113 9.146
angles (deg): 90.00 90.00 90.00
Space group I-4m2 (No. 119)
Asymmetric unit:
Cd: 0.000 0.000 0.000
Hg: 0.000 0.000 0.500
Hg: 0.000 0.500 0.750
Os: 0.000 0.500 0.250

Results
M_tot: 1.43 Bohr magnetons per cell
ΔH_f (0 K): 2.880 eV/f.u.
total energy: -2.47 eV/atom



[4]
Sr3Cu2H5S2 | PBE | relaxed

a b c (Å): 4.052 4.052 21.867
angles (deg): 90.00 90.00 90.00
Space group I4/mmm (No. 139)
Asymmetric unit:
Sr: 0.000 0.000 0.000
Sr: 0.000 0.000 0.173
Cu: 0.000 0.000 0.421
H: 0.000 0.000 0.500
H: 0.000 0.500 0.074
S: 0.000 0.000 0.312

Results
M_tot: 0.00 Bohr magnetons per cell
total energy: -3.91 eV/atom